DFT (PBE-GGA) results for crystalline AcGaSi at its relaxed geometry.

The calculation puts the offset from the most stable computed form at 0.04 kcal/mol of atoms. The final energy is -14.42 eV/cell. As for the space-group type: P3m1 (156).

Unit cell a=4.258 b=4.258 c=4.706 alpha=90.00 beta=90.00 gamma=120.00
Sites, in units of the cell vectors:
1 Ac 0.000 0.000 0.000
2 Ga 0.667 0.333 0.467
3 Si 0.333 0.667 0.527